Here is a relaxed DyGeRu crystal from Alexandria via LeMat-Bulk. Energies are from GGA-PBEsol.

As for the formation energy: -0.735 eV per atom. Its density of states at the Fermi level is 9.97 states/eV per cell.

Cell: 6.9404 4.3848 7.1112 Å, 90.00 90.00 90.00°
With the nearest neighbours (Å) after each atom.
Space group Pnma (No. 62)
Inequivalent atoms, fractional coordinates:
Dy 0.0165 0.2500 0.1906 [4 per cell]  4 Ru 2.90-2.97, 6 Ge 2.99-3.23
Ge 0.2023 0.2500 0.6072 [4 per cell]  4 Ru 2.50-2.55
Ru 0.1548 0.7500 0.4368 [4 per cell]  4 Ge 2.50-2.55


Here is a relaxed Rb2SiCS crystal from Alexandria via LeMat-Bulk. Energies are from GGA-PBEsol.

The uncorrected formation energy comes out at 0.233 eV per atom. Its density of states at the Fermi level is 2.20 states/eV per cell.

Cell: 6.1439 6.1439 3.4180 Å, 90.00 90.00 90.00°
With the nearest neighbours (Å) after each atom.
Space group P4/mmm (No. 123)
Inequivalent atoms, fractional coordinates:
Rb 0.0000 0.5000 0.0000 [2 per cell]  2 C 3.07, 2 Rb 3.42
Si 0.0000 0.0000 0.5000 [1 per cell]  2 C 1.71
C 0.0000 0.0000 0.0000 [1 per cell]  2 Si 1.71
S 0.5000 0.5000 0.5000 [1 per cell]  2 S 3.42, 8 Rb 3.52